(1)
Compound: SrFePt2
Source: Alexandria
Functional: PBE
Structure: optimized geometry

CIF file:
```
data_SrFePt2
_chemical_formula_sum 'Sr1 Fe1 Pt2'
_space_group_name_H-M_alt 'P 1'
_space_group_IT_number 1
_cell_length_a 3.0225
_cell_length_b 5.1604
_cell_length_c 5.9373
_cell_angle_alpha 52.30
_cell_angle_beta 90.00
_cell_angle_gamma 90.00
loop_
_space_group_symop_operation_xyz
'x,y,z'
loop_
_atom_site_label
_atom_site_type_symbol
_atom_site_fract_x
_atom_site_fract_y
_atom_site_fract_z
_atom_site_occupancy
Pt1 Pt 0.0000 0.0000 0.0000 1
Pt2 Pt 0.5000 0.5000 0.0000 1
Fe1 Fe 0.0000 0.0000 0.5000 1
Sr1 Sr 0.5000 0.5000 0.5000 1
```

**Energy of formation from the pure elements**: 50 kJ/mol of formula units

---

(2)
Compound: Ni2Hg2Se
Source: Alexandria
Functional: PBE
Structure: optimized geometry

CIF file:
```
data_Ni2Hg2Se
_chemical_formula_sum 'Ni2 Hg2 Se1'
_space_group_name_H-M_alt 'P 1'
_space_group_IT_number 1
_cell_length_a 3.4527
_cell_length_b 3.4527
_cell_length_c 8.3440
_cell_angle_alpha 78.06
_cell_angle_beta 78.06
_cell_angle_gamma 90.00
loop_
_space_group_symop_operation_xyz
'x,y,z'
loop_
_atom_site_label
_atom_site_type_symbol
_atom_site_fract_x
_atom_site_fract_y
_atom_site_fract_z
_atom_site_occupancy
Ni1 Ni 0.7500 0.2500 0.5000 1
Ni2 Ni 0.2500 0.7500 0.5000 1
Se1 Se 0.0000 0.0000 0.0000 1
Hg1 Hg 0.3820 0.3820 0.2360 1
Hg2 Hg 0.6180 0.6180 0.7640 1
```

**Energy above the lowest structure with this stoichiometry**: 4.518 kcal/mol of atoms
**Raw formation energy**: 0.35 eV/atom